Entry 1:
Entry from Alexandria: Zr4Ir2Pd3 after structural relaxation (GGA-PBE).

Structure (POSCAR):
```
Zr4Ir2Pd3
1.0
-2.698 2.893 1.795
-0.842 -0.443 4.703
6.944 4.794 2.744
Ir Zr Pd
2 4 3
direct
0.681 0.638 0.204 Ir
0.319 0.362 0.796 Ir
0.660 0.680 0.883 Zr
0.967 0.067 0.665 Zr
0.340 0.320 0.117 Zr
0.033 0.933 0.335 Zr
0.659 0.682 0.544 Pd
0.341 0.318 0.456 Pd
0.000 0.000 0.000 Pd
```

***

Entry 2:
Entry from Alexandria: Zr3Ir2Pd after structural relaxation (GGA-PBE).

Structure (POSCAR):
```
Zr3Ir2Pd
1.0
-1.363 -3.024 0.132
4.238 -1.939 -0.674
2.070 -0.323 13.939
Zr Ir Pd
6 4 2
direct
0.500 0.000 0.169 Zr
0.500 0.500 0.669 Zr
0.500 0.000 0.831 Zr
0.500 0.500 0.331 Zr
0.500 0.000 0.500 Zr
0.500 0.500 0.000 Zr
0.000 0.500 0.834 Ir
0.000 0.000 0.334 Ir
0.000 0.000 0.666 Ir
0.000 0.500 0.166 Ir
0.000 0.500 0.500 Pd
0.000 0.000 0.000 Pd
```

***

Entry 3:
Entry from Alexandria: Zr3IrPd2 after structural relaxation (GGA-PBE).

Structure (POSCAR):
```
Zr3IrPd2
1.0
-2.021 -1.543 -1.966
-1.586 -2.570 3.647
-4.379 6.363 -0.494
Zr Pd Ir
3 2 1
direct
0.500 0.500 0.000 Zr
0.500 0.844 0.688 Zr
0.500 0.156 0.312 Zr
0.000 0.683 0.366 Pd
0.000 0.317 0.634 Pd
0.000 0.000 0.000 Ir
```

***

Entry 4:
Entry from Alexandria: ZrIr2Pd2 after structural relaxation (GGA-PBE).

Structure (POSCAR):
```
ZrIr2Pd2
1.0
-6.376 1.587 1.976
0.718 -4.000 5.528
1.287 2.829 1.881
Pd Ir Zr
4 4 2
direct
0.665 0.835 0.500 Pd
0.165 0.665 0.500 Pd
0.335 0.165 0.500 Pd
0.835 0.335 0.500 Pd
0.368 0.868 0.000 Ir
0.132 0.368 0.000 Ir
0.632 0.132 0.000 Ir
0.868 0.632 0.000 Ir
0.500 0.500 0.000 Zr
0.000 0.000 0.000 Zr
```

***

Entry 5:
Entry from Alexandria: Zr3IrPd after structural relaxation (GGA-PBE).

Structure (POSCAR):
```
Zr3IrPd
1.0
-1.014 -0.439 -4.631
3.181 -3.538 -0.362
-6.587 -5.877 -0.448
Pd Ir Zr
2 2 6
direct
0.673 0.750 0.303 Pd
0.976 0.250 0.697 Pd
0.165 0.250 0.318 Ir
0.483 0.750 0.682 Ir
0.883 0.750 0.882 Zr
0.074 0.750 0.499 Zr
0.266 0.750 0.116 Zr
0.765 0.250 0.118 Zr
0.382 0.250 0.884 Zr
0.574 0.250 0.501 Zr
```

***

Entry 6:
Entry from Alexandria: PmIr3 after structural relaxation (GGA-PBE).

Structure (POSCAR):
```
PmIr3
1.0
-1.343 2.312 -3.128
-3.545 -2.090 -0.023
-1.602 2.687 2.674
Ir Pm
3 1
direct
0.000 0.500 0.500 Ir
0.500 0.500 0.000 Ir
0.500 0.000 0.500 Ir
0.000 0.000 0.000 Pm
```

***

no.,DFT formation energy (eV/atom),total magnetization (μB per cell),total DFT energy (no corrections) (Ry/atom)
1,-0.69,0.0,-0.6019
2,-0.74,0.0,-0.6493
3,-0.68,0.0,-0.6002
4,-0.15,0.0,-0.5500
5,-0.62,0.0,-0.6291
6,-0.21,0.0,-0.5911